DFT (PBE) results for an optimized crystal structure of Dy2Cd16Pb.

Computed properties:
- volume (Å³ per atom) = 23.5
- space group = R3m (160)
- formation energy (eV per atom) = -0.086
- M_tot (μB/atom) = 0.000

Cell lengths 7.6906, 7.6906, 7.6906 Å; angles 83.67, 83.67, 83.67 degrees
Closest atoms and distances in Å follow each position.
Positions (direct):
Dy1 0.6725 0.6725 0.6725  1 Pb 3.33, 12 Cd 3.46-3.57
Dy2 0.3338 0.3338 0.3338  16 Cd 3.42-3.77
Cd1 0.6862 0.9949 0.3180  7 Cd 2.91-3.17
Cd2 0.9949 0.3180 0.6862  7 Cd 2.91-3.17
Cd3 0.3180 0.6862 0.9949  7 Cd 2.91-3.17
Cd4 0.9949 0.6862 0.3180  7 Cd 2.91-3.17
Cd5 0.6862 0.3180 0.9949  7 Cd 2.91-3.17
Cd6 0.3180 0.9949 0.6862  7 Cd 2.91-3.17
Cd7 0.3687 0.7882 0.3687  8 Cd 2.84-3.14
Cd8 0.7882 0.3687 0.3687  8 Cd 2.84-3.14
Cd9 0.3687 0.3687 0.7882  8 Cd 2.84-3.14
Cd10 0.6555 0.1398 0.6555  8 Cd 2.84-3.12, 1 Pb 3.11
Cd11 0.1398 0.6555 0.6555  8 Cd 2.84-3.12, 1 Pb 3.11
Cd12 0.6555 0.6555 0.1398  8 Cd 2.84-3.12, 1 Pb 3.11
Cd13 0.0232 0.4724 0.0232  9 Cd 2.86-3.12
Cd14 0.4724 0.0232 0.0232  9 Cd 2.86-3.12
Cd15 0.0232 0.0232 0.4724  9 Cd 2.86-3.12
Cd16 0.1014 0.1014 0.1014  3 Cd 2.86, 1 Pb 2.98
Pb1 0.8991 0.8991 0.8991  4 Cd 2.98-3.11